Crystalline LiYAu at its relaxed geometry, computed with GGA-PBEsol.

Results
Space-group type: F-43m (216)
Total magnetization, μB per cell: 0.0
Raw total energy, eV/atom: -4.2646
Calculated volume, Å³/cell: 72.8
Energy relative to the lowest polymorph listed for this composition, eV/f.u.: 1.52

a = 4.686 Å, b = 4.686 Å, c = 4.686 Å
α = 60.00°, β = 60.00°, γ = 60.00°
Positions (direct):
Y1 0.250 0.250 0.250
Au1 0.000 0.000 0.000
Li1 0.500 0.500 0.500